No. 1
! AlAgIr4 (PBE, optimized geometry); values from VASP
&SYSTEM
  ibrav = 0, nat = 6, ntyp = 3
/
ATOMIC_SPECIES
Al 26.98 Al.upf
Ag 107.87 Ag.upf
Ir 192.22 Ir.upf
CELL_PARAMETERS angstrom
0.0000 3.6679 3.6679
3.6679 0.0000 3.6679
3.6679 3.6679 0.0000
ATOMIC_POSITIONS crystal
Al 0.0000 0.0000 0.0000
Ag 0.7500 0.7500 0.7500
Ir 0.8755 0.3748 0.3748
Ir 0.3748 0.3748 0.8755
Ir 0.3748 0.8755 0.3748
Ir 0.3748 0.3748 0.3748
! **Fermi-level density of states**: 6.58 states/eV/f.u.
! **Formation enthalpy at 0 K**: 297 meV per atom
! **Theoretical density**: 15.20 g/cm³



No. 2
! Al2Ag2Ir (PBE, optimized geometry); values from VASP
&SYSTEM
  ibrav = 0, nat = 10, ntyp = 3
/
ATOMIC_SPECIES
Ir 192.22 Ir.upf
Al 26.98 Al.upf
Ag 107.87 Ag.upf
CELL_PARAMETERS angstrom
6.5754 0.0000 0.0000
0.0000 6.5754 0.0000
0.0000 0.0000 3.8386
ATOMIC_POSITIONS crystal
Ir 0.0000 0.0000 0.0000
Ir 0.5000 0.5000 0.0000
Al 0.3506 0.8506 0.0000
Al 0.8506 0.6494 0.0000
Al 0.6494 0.1494 0.0000
Al 0.1494 0.3506 0.0000
Ag 0.1547 0.6547 0.5000
Ag 0.6547 0.8453 0.5000
Ag 0.8453 0.3453 0.5000
Ag 0.3453 0.1547 0.5000
! **Fermi-level density of states**: 2.39 states/eV/f.u.
! **Formation enthalpy at 0 K**: -31 meV per atom
! **Theoretical density**: 9.24 g/cm³